## K3FeI2O9 (GGA+U)

Data for an optimized crystal structure of K3FeI2O9.

a = 5.7346 Å, b = 5.7346 Å, c = 7.0205 Å
α = 90.00°, β = 90.00°, γ = 120.00°
Space group P-3m1 (No. 164)
Inequivalent atoms, fractional coordinates:
K: 0.0000 0.0000 0.0000 (multiplicity 1)
K: 0.3333 0.6667 0.6703 (multiplicity 2)
Fe: 0.0000 0.0000 0.5000 (multiplicity 1)
I: 0.3333 0.6667 0.1810 (multiplicity 2)
O: 0.0000 0.5000 0.0000 (multiplicity 3)
O: 0.1718 0.3436 0.3321 (multiplicity 6)

Crystal system: trigonal
Uncorrected energy (eV per atom): -4.716


## KFeIO2 (GGA+U)

Data for an optimized crystal structure of KFeIO2.

a = 4.617 Å, b = 4.617 Å, c = 6.883 Å
α = 90.00°, β = 90.00°, γ = 90.00°
Space group P4/mmm (No. 123)
Inequivalent atoms, fractional coordinates:
K: 0.000 0.000 0.000 (multiplicity 1)
Fe: 0.500 0.500 0.500 (multiplicity 1)
I: 0.000 0.000 0.500 (multiplicity 1)
O: 0.000 0.500 0.000 (multiplicity 2)

Crystal system: tetragonal
Uncorrected energy (eV per atom): -2.898